# AlWSe2F

AlWSe2F after structural relaxation (PBE+U, the Alexandria database).

Calculated values
magnetization: 0.853 μB/atom
crystal system: tetragonal
calculated total energy: -17.8 eV for the cell shown
symmetry: No. 123

Unit cell a=4.6714 b=5.8036 c=4.6714 alpha=90.00 beta=90.00 gamma=90.00
Last column: nearest neighbours and their distance in Å.
Element x y z (fractional)
F1 0.5000 0.5000 0.5000  4 W 3.30
Se1 0.5000 0.0000 0.0000  2 Al 2.34
Se2 0.0000 0.0000 0.5000  2 Al 2.34
Al1 0.0000 0.0000 0.0000  4 Se 2.34
W1 0.0000 0.5000 0.0000  2 Al 2.90